First-principles (PBE) data for a geometry-optimized Ac2LaEr3 structure, as listed in Alexandria via LeMat-Bulk.

The formation energy comes out at 0.181 eV/atom. The value obtained for the total energy is -51.50 eV/cell. Its size of the total moment is 0.0 μB/cell. The space group is Ibam (72). Its volume is 36.1 Å³ per atom.

Lattice parameters (Å, degrees): 11.1942 11.1942 11.1942 160.19 70.30 113.34
Fractional coordinates of all 12 atoms:
Ac1 0.1615 0.0014 0.1629
Ac2 0.3385 0.5014 0.8399
Ac3 0.6615 0.4986 0.1601
Ac4 0.8385 0.9986 0.8371
La1 0.0000 0.5000 0.5000
La2 0.5000 0.0000 0.5000
Er1 0.0830 0.7500 0.3330
Er2 0.2500 0.2500 0.0000
Er3 0.4170 0.7500 0.6670
Er4 0.5830 0.2500 0.3330
Er5 0.7500 0.7500 0.0000
Er6 0.9170 0.2500 0.6670


First-principles (PBE) data for a geometry-optimized TbSmCo10 structure, as listed in Alexandria via LeMat-Bulk.

The formation energy comes out at -0.085 eV/atom. The value obtained for the total energy is -81.42 eV/cell. Its size of the total moment is 14.2 μB/cell. The space group is Pmmm (47). Its volume is 14.0 Å³ per atom.

Lattice parameters (Å, degrees): 3.9439 4.9504 8.5882 90.00 90.00 90.00
Fractional coordinates of all 12 atoms:
Tb1 0.0000 0.0000 0.0000
Sm1 0.0000 0.5000 0.5000
Co1 0.0000 0.0000 0.3295
Co2 0.0000 0.0000 0.6705
Co3 0.0000 0.5000 0.1643
Co4 0.0000 0.5000 0.8357
Co5 0.5000 0.0000 0.5000
Co6 0.5000 0.2487 0.2480
Co7 0.5000 0.2487 0.7520
Co8 0.5000 0.5000 0.0000
Co9 0.5000 0.7513 0.2480
Co10 0.5000 0.7513 0.7520


The lowest volume belongs to which entry? TbSmCo10


volume of number 2 (TbSmCo10)? 14.0 Å³ per atom


Among the records above, which one has the lowest size of the total moment? Ac2LaEr3